Ce4Sm3ThSe8 | PBE | optimized geometry

abc: 8.3830 8.3830 8.3830
angles: 59.96 59.96 59.96
Fractional positions:
Ce 0.0000 0.0000 0.0000
Ce 0.0000 0.5000 0.5000
Ce 0.5000 0.0000 0.5000
Ce 0.5000 0.5000 0.0000
Sm 0.0000 0.0000 0.5000
Sm 0.0000 0.5000 0.0000
Sm 0.5000 0.0000 0.0000
Th 0.5000 0.5000 0.5000
Se 0.2470 0.7507 0.7507
Se 0.2491 0.2491 0.2491
Se 0.2493 0.2493 0.7530
Se 0.2493 0.7530 0.2493
Se 0.7507 0.2470 0.7507
Se 0.7507 0.7507 0.2470
Se 0.7509 0.7509 0.7509
Se 0.7530 0.2493 0.2493

Computed properties:
For the total DFT energy (no corrections), the calculation gives -6.36 eV per atom.